(1)
{"formula": "RbMnSn2Cl8", "functional": "PBE", "state": "relaxed", "mass_density_g_cm3": 2.9, "formation_energy_uncorrected_ev_per_atom": -1.157, "magnetic_moment_mub_per_fu": 3.97, "lattice_angstrom": [[6.748, 0.000, 0.000], [0.313, 7.111, 0.000], [2.587, 1.590, 7.978]], "species": ["Rb", "Mn", "Sn", "Sn", "Cl", "Cl", "Cl", "Cl", "Cl", "Cl", "Cl", "Cl"], "frac_coords": [[0.000, 0.000, 0.000], [0.000, 0.000, 0.500], [0.450, 0.391, 0.254], [0.550, 0.609, 0.746], [0.113, 0.246, 0.588], [0.180, 0.785, 0.642], [0.242, 0.568, 0.042], [0.350, 0.067, 0.218], [0.650, 0.933, 0.782], [0.758, 0.432, 0.958], [0.820, 0.215, 0.358], [0.887, 0.754, 0.412]]}

=====

(2)
{"formula": "RbMnSnCl5", "functional": "PBE", "state": "relaxed", "mass_density_g_cm3": 2.7, "formation_energy_uncorrected_ev_per_atom": -1.293, "magnetic_moment_mub_per_fu": 4.99, "lattice_angstrom": [[4.659, -6.241, 0.000], [4.659, 6.241, 0.000], [-4.114, 0.000, 9.328]], "species": ["Rb", "Rb", "Mn", "Mn", "Sn", "Sn", "Cl", "Cl", "Cl", "Cl", "Cl", "Cl", "Cl", "Cl", "Cl", "Cl"], "frac_coords": [[0.156, 0.844, 0.750], [0.844, 0.156, 0.250], [0.185, 0.815, 0.250], [0.815, 0.185, 0.750], [0.500, 0.500, 0.000], [0.500, 0.500, 0.500], [0.108, 0.247, 0.925], [0.176, 0.597, 0.377], [0.247, 0.108, 0.425], [0.403, 0.824, 0.123], [0.415, 0.585, 0.750], [0.585, 0.415, 0.250], [0.597, 0.176, 0.877], [0.753, 0.892, 0.575], [0.824, 0.403, 0.623], [0.892, 0.753, 0.075]]}

=====

(3)
{"formula": "Rb3SrMn2Cl9", "functional": "PBE", "state": "relaxed", "mass_density_g_cm3": 2.9, "formation_energy_uncorrected_ev_per_atom": -1.713, "magnetic_moment_mub_per_fu": 10.00, "lattice_angstrom": [[7.418, 0.000, 0.000], [-3.709, 6.424, 0.000], [0.000, 0.000, 9.321]], "species": ["Rb", "Rb", "Rb", "Sr", "Mn", "Mn", "Cl", "Cl", "Cl", "Cl", "Cl", "Cl", "Cl", "Cl", "Cl"], "frac_coords": [[0.000, 0.000, 0.000], [0.333, 0.667, 0.700], [0.667, 0.333, 0.300], [0.000, 0.000, 0.500], [0.333, 0.667, 0.158], [0.667, 0.333, 0.842], [0.000, 0.500, 0.000], [0.174, 0.349, 0.313], [0.174, 0.826, 0.313], [0.349, 0.174, 0.687], [0.500, 0.000, 0.000], [0.500, 0.500, 0.000], [0.651, 0.826, 0.313], [0.826, 0.174, 0.687], [0.826, 0.651, 0.687]]}